Below is an optimized crystal structure of AlCuW2O8, with properties calculated at the PBE with a Hubbard U level.

Calculated values
E_tot (eV per atom): -7.09
M_tot (Bohr magnetons per cell): 0.00

Cell: 5.0320 5.6706 10.3889 Å, 90.00 118.45 90.00°
Space group P2/c (No. 13)
Inequivalent atoms, fractional coordinates:
Al 0.0000 0.1579 0.2500 [2 per cell]
Cu 0.5000 0.1531 0.7500 [2 per cell]
W 0.2412 0.3275 0.9985 [4 per cell]
O 0.1825 0.3872 0.6146 [4 per cell]
O 0.2101 0.1443 0.1394 [4 per cell]
O 0.2495 0.0981 0.8736 [4 per cell]
O 0.3064 0.3836 0.3882 [4 per cell]